! Pr4Sm5Dy (PBE, relaxed); values from VASP
! calculated total energy	-4.55	eV/atom
! space group	P4/nmm
! crystal system	tetragonal
! M_tot	0.00	μB per atom
&SYSTEM
  ibrav = 0, nat = 20, ntyp = 3
/
ATOMIC_SPECIES
Pr 140.91 Pr.upf
Sm 150.36 Sm.upf
Dy 162.50 Dy.upf
ATOMIC_POSITIONS crystal
Pr 0.0437 0.7500 0.1315
Pr 0.2500 0.5437 0.8685
Pr 0.2500 0.9563 0.8685
Pr 0.4563 0.7500 0.1315
Pr 0.5437 0.2500 0.8685
Pr 0.7500 0.0437 0.1315
Pr 0.7500 0.4563 0.1315
Pr 0.9563 0.2500 0.8685
Sm 0.0886 0.0886 0.3366
Sm 0.0886 0.4114 0.3366
Sm 0.2500 0.7500 0.5000
Sm 0.4114 0.0886 0.3366
Sm 0.4114 0.4114 0.3366
Sm 0.5886 0.5886 0.6634
Sm 0.5886 0.9114 0.6634
Sm 0.7500 0.2500 0.5000
Sm 0.9114 0.5886 0.6634
Sm 0.9114 0.9114 0.6634
Dy 0.2500 0.2500 0.8690
Dy 0.7500 0.7500 0.1310
CELL_PARAMETERS angstrom
10.8748 0.0000 0.0000
0.0000 10.8748 0.0000
0.0000 0.0000 5.8446